This record from Alexandria via LeMat-Bulk describes a geometry-optimized Mg2HgRu structure. The functional is PBE-GGA.

Properties
The energy is -12.4 eV/f.u. For the density of states at the Fermi level, the calculation gives 2.6 states/eV per cell. The volume comes out at 72.5 Å³/f.u. The calculation puts the total magnetic moment at 0.000 μB per formula unit. The space group is P4mm.

a b c (Å): 3.441 3.441 6.124
angles (deg): 90.00 90.00 90.00
Sites, in units of the cell vectors:
Hg: 0.500 0.500 0.742
Mg: 0.000 0.000 0.999
Mg: 0.500 0.500 0.285
Ru: 0.000 0.000 0.474

This record from Alexandria via LeMat-Bulk describes a geometry-optimized MgHg2Ru structure. The functional is PBE-GGA.

Properties
The energy is -10.7 eV/f.u. For the density of states at the Fermi level, the calculation gives 2.5 states/eV per cell. The volume comes out at 74.7 Å³/f.u. The calculation puts the total magnetic moment at 0.000 μB per formula unit. The space group is Imm2.

a b c (Å): 5.560 5.560 5.560
angles (deg): 144.04 131.57 61.77
Sites, in units of the cell vectors:
Hg: 0.014 0.014 0.000
Hg: 0.750 0.250 0.500
Mg: 0.481 0.481 0.000
Ru: 0.255 0.755 0.500

This record from Alexandria via LeMat-Bulk describes a geometry-optimized Mg3HgRu structure. The functional is PBE-GGA.

Properties
The energy is -12.7 eV/f.u. For the density of states at the Fermi level, the calculation gives 3.4 states/eV per cell. The volume comes out at 122.2 Å³/f.u. The calculation puts the total magnetic moment at 0.000 μB per formula unit. The space group is Pm-3m.

a b c (Å): 4.962 4.962 4.962
angles (deg): 90.00 90.00 90.00
Sites, in units of the cell vectors:
Mg: 0.000 0.500 0.000
Mg: 0.000 0.000 0.500
Mg: 0.500 0.000 0.000
Hg: 0.500 0.500 0.500
Ru: 0.000 0.000 0.000

This record from Alexandria via LeMat-Bulk describes a geometry-optimized MgHg2Ru structure. The functional is PBE-GGA.

Properties
The energy is -11.0 eV/f.u. For the density of states at the Fermi level, the calculation gives 3.7 states/eV per cell. The volume comes out at 72.8 Å³/f.u. The calculation puts the total magnetic moment at 0.001 μB per formula unit. The space group is P4/mmm.

a b c (Å): 4.224 4.224 4.078
angles (deg): 90.00 90.00 90.02
Sites, in units of the cell vectors:
Hg: 0.500 0.500 0.000
Hg: 0.000 0.000 0.000
Mg: 0.500 0.000 0.500
Ru: 0.000 0.500 0.500

This record from Alexandria via LeMat-Bulk describes a geometry-optimized MgHg2Ru structure. The functional is PBE-GGA.

Properties
The energy is -10.2 eV/f.u. For the density of states at the Fermi level, the calculation gives 2.9 states/eV per cell. The volume comes out at 74.1 Å³/f.u. The calculation puts the total magnetic moment at 0.377 μB per formula unit. The space group is F-43m.

a b c (Å): 4.715 4.715 4.715
angles (deg): 60.00 60.00 60.00
Sites, in units of the cell vectors:
Hg: 0.750 0.750 0.750
Hg: 0.000 0.000 0.000
Mg: 0.500 0.500 0.500
Ru: 0.250 0.250 0.250

This record from Alexandria via LeMat-Bulk describes a geometry-optimized Mg2HgRu structure. The functional is PBE-GGA.

Properties
The energy is -11.7 eV/f.u. For the density of states at the Fermi level, the calculation gives 1.8 states/eV per cell. The volume comes out at 76.7 Å³/f.u. The calculation puts the total magnetic moment at 0.000 μB per formula unit. The space group is I-42d.

a b c (Å): 7.330 7.330 5.917
angles (deg): 51.73 51.73 90.00
Sites, in units of the cell vectors:
Mg: 0.139 0.625 0.250
Mg: 0.611 0.125 0.250
Mg: 0.875 0.861 0.750
Mg: 0.375 0.389 0.750
Ru: 0.500 0.500 0.000
Ru: 0.250 0.750 0.500
Hg: 0.750 0.250 0.500
Hg: 0.000 0.000 0.000